# La2Y3Tm4 GGA-PBE relaxed
# * energy above the most stable polymorph in this dataset: 0 meV/atom
# * DFT formation energy: 0.037 eV/atom
# * calculated volume: 32.41 A^3/atom
# * M_tot: 0.00 μB/f.u.
data_La2Y3Tm4
_chemical_formula_sum 'La4 Y6 Tm8'
_cell_length_a 15.176
_cell_length_b 5.066
_cell_length_c 7.996
_cell_angle_alpha 90.00
_cell_angle_beta 108.37
_cell_angle_gamma 90.00
_symmetry_space_group_name_H-M 'C 1 2/m 1'
_symmetry_Int_Tables_number 12
_symmetry_space_group_name_Hall '-C 2y'
loop_
_atom_site_label
_atom_site_type_symbol
_atom_site_fract_x
_atom_site_fract_y
_atom_site_fract_z
La1 La 0.166 0.000 0.001
Y1 Y 0.000 0.500 0.000
Y2 Y 0.110 0.500 0.662
Tm1 Tm 0.057 0.000 0.340
Tm2 Tm 0.222 0.500 0.339



# La2YTm5 GGA-PBE relaxed
# * energy above the most stable polymorph in this dataset: 0 meV/atom
# * DFT formation energy: 0.041 eV/atom
# * calculated volume: 32.13 A^3/atom
# * M_tot: 0.00 μB/f.u.
data_La2YTm5
_chemical_formula_sum 'La4 Y2 Tm10'
_cell_length_a 7.158
_cell_length_b 7.158
_cell_length_c 10.033
_cell_angle_alpha 90.00
_cell_angle_beta 90.00
_cell_angle_gamma 90.00
_symmetry_space_group_name_H-M 'I 4/m m m'
_symmetry_Int_Tables_number 139
_symmetry_space_group_name_Hall '-I 4 2'
loop_
_atom_site_label
_atom_site_type_symbol
_atom_site_fract_x
_atom_site_fract_y
_atom_site_fract_z
La1 La 0.000 0.500 0.000
Y1 Y 0.000 0.000 0.000
Tm1 Tm 0.000 0.000 0.500
Tm2 Tm 0.250 0.250 0.250



# La5Y2Tm GGA-PBE relaxed
# * energy above the most stable polymorph in this dataset: 105 meV/atom
# * DFT formation energy: 0.220 eV/atom
# * calculated volume: 34.92 A^3/atom
# * M_tot: 0.00 μB/f.u.
data_La5Y2Tm
_chemical_formula_sum 'La20 Y8 Tm4'
_cell_length_a 6.423
_cell_length_b 27.230
_cell_length_c 6.452
_cell_angle_alpha 90.00
_cell_angle_beta 97.98
_cell_angle_gamma 90.00
_symmetry_space_group_name_H-M 'C 1 2/c 1'
_symmetry_Int_Tables_number 15
_symmetry_space_group_name_Hall '-C 2yc'
loop_
_atom_site_label
_atom_site_type_symbol
_atom_site_fract_x
_atom_site_fract_y
_atom_site_fract_z
La1 La 0.000 0.127 0.250
La2 La 0.205 0.317 0.011
La3 La 0.238 0.404 0.315
Y1 Y 0.000 0.000 0.000
Y2 Y 0.250 0.250 0.500
Tm1 Tm 0.000 0.460 0.750



# La6Y4Tm GGA-PBE relaxed
# * energy above the most stable polymorph in this dataset: 0 meV/atom
# * DFT formation energy: 0.106 eV/atom
# * calculated volume: 35.13 A^3/atom
# * M_tot: 0.00 μB/f.u.
data_La6Y4Tm
_chemical_formula_sum 'La24 Y16 Tm4'
_cell_length_a 5.921
_cell_length_b 9.907
_cell_length_c 26.351
_cell_angle_alpha 90.00
_cell_angle_beta 90.00
_cell_angle_gamma 90.00
_symmetry_space_group_name_H-M 'C m c m'
_symmetry_Int_Tables_number 63
_symmetry_space_group_name_Hall '-C 2c 2'
loop_
_atom_site_label
_atom_site_type_symbol
_atom_site_fract_x
_atom_site_fract_y
_atom_site_fract_z
La1 La 0.000 0.000 0.000
La2 La 0.000 0.039 0.250
La3 La 0.000 0.311 0.600
La4 La 0.000 0.364 0.183
Y1 Y 0.000 0.029 0.125
Y2 Y 0.000 0.344 0.046
Tm1 Tm 0.000 0.300 0.750



# LaY9Tm2 GGA-PBE relaxed
# * DFT formation energy: 0.032 eV/atom
# * calculated volume: 32.34 A^3/atom
# * M_tot: 0.00 μB/f.u.
data_LaY9Tm2
_chemical_formula_sum 'La1 Y9 Tm2'
_cell_length_a 5.054
_cell_length_b 5.054
_cell_length_c 15.194
_cell_angle_alpha 90.00
_cell_angle_beta 90.00
_cell_angle_gamma 90.00
_symmetry_space_group_name_H-M 'P 4/m m m'
_symmetry_Int_Tables_number 123
_symmetry_space_group_name_Hall '-P 4 2'
loop_
_atom_site_label
_atom_site_type_symbol
_atom_site_fract_x
_atom_site_fract_y
_atom_site_fract_z
La1 La 0.000 0.000 0.000
Y1 Y 0.000 0.500 0.171
Y2 Y 0.000 0.500 0.500
Y3 Y 0.500 0.500 0.000
Y4 Y 0.500 0.500 0.337
Tm1 Tm 0.000 0.000 0.335



# La12Y2Tm5 GGA-PBE relaxed
# * DFT formation energy: 0.102 eV/atom
# * calculated volume: 34.90 A^3/atom
# * M_tot: 0.00 μB/f.u.
data_La12Y2Tm5
_chemical_formula_sum 'La24 Y4 Tm10'
_cell_length_a 13.307
_cell_length_b 11.731
_cell_length_c 9.574
_cell_angle_alpha 90.00
_cell_angle_beta 117.46
_cell_angle_gamma 90.00
_symmetry_space_group_name_H-M 'C 1 2/m 1'
_symmetry_Int_Tables_number 12
_symmetry_space_group_name_Hall '-C 2y'
loop_
_atom_site_label
_atom_site_type_symbol
_atom_site_fract_x
_atom_site_fract_y
_atom_site_fract_z
La1 La 0.061 0.000 0.279
La2 La 0.096 0.500 0.418
La3 La 0.104 0.240 0.908
La4 La 0.214 0.237 0.316
Y1 Y 0.000 0.215 0.500
Tm1 Tm 0.000 0.500 0.000
Tm2 Tm 0.198 0.000 0.733
Tm3 Tm 0.218 0.500 0.862



# La4Y3Tm GGA-PBE relaxed
# * energy above the most stable polymorph in this dataset: 209 meV/atom
# * DFT formation energy: 0.221 eV/atom
# * calculated volume: 34.35 A^3/atom
# * M_tot: 0.00 μB/f.u.
data_La4Y3Tm
_chemical_formula_sum 'La8 Y6 Tm2'
_cell_length_a 24.994
_cell_length_b 3.455
_cell_length_c 6.367
_cell_angle_alpha 90.00
_cell_angle_beta 91.81
_cell_angle_gamma 90.00
_symmetry_space_group_name_H-M 'C 1 2/m 1'
_symmetry_Int_Tables_number 12
_symmetry_space_group_name_Hall '-C 2y'
loop_
_atom_site_label
_atom_site_type_symbol
_atom_site_fract_x
_atom_site_fract_y
_atom_site_fract_z
La1 La 0.107 0.000 0.241
La2 La 0.221 0.500 0.250
Y1 Y 0.000 0.000 0.500
Y2 Y 0.138 0.000 0.748
Tm1 Tm 0.000 0.500 0.000



# La5Y8Tm GGA-PBE relaxed
# * DFT formation energy: 0.230 eV/atom
# * calculated volume: 34.33 A^3/atom
# * M_tot: 0.00 μB/f.u.
data_La5Y8Tm
_chemical_formula_sum 'La10 Y16 Tm2'
_cell_length_a 12.842
_cell_length_b 10.086
_cell_length_c 9.516
_cell_angle_alpha 90.00
_cell_angle_beta 128.75
_cell_angle_gamma 90.00
_symmetry_space_group_name_H-M 'C 1 2 1'
_symmetry_Int_Tables_number 5
_symmetry_space_group_name_Hall 'C 2y'
loop_
_atom_site_label
_atom_site_type_symbol
_atom_site_fract_x
_atom_site_fract_y
_atom_site_fract_z
La1 La 0.000 0.000 0.000
La2 La 0.099 0.430 0.899
La3 La 0.212 0.601 0.346
Y1 Y 0.067 0.095 0.732
Y2 Y 0.116 0.752 0.929
Y3 Y 0.173 0.416 0.607
Y4 Y 0.177 0.248 0.234
Tm1 Tm 0.000 0.758 0.500



# La3Y2Tm6 GGA-PBE relaxed
# * DFT formation energy: 0.715 eV/atom
# * calculated volume: 34.41 A^3/atom
# * M_tot: 0.57 μB/f.u.
data_La3Y2Tm6
_chemical_formula_sum 'La9 Y6 Tm18'
_cell_length_a 4.5852
_cell_length_b 4.5852
_cell_length_c 62.3618
_cell_angle_alpha 90.00
_cell_angle_beta 90.00
_cell_angle_gamma 120.00
_symmetry_space_group_name_H-M 'R -3 m'
_symmetry_Int_Tables_number 166
_symmetry_space_group_name_Hall '-R 3 2"'
loop_
_atom_site_label
_atom_site_type_symbol
_atom_site_fract_x
_atom_site_fract_y
_atom_site_fract_z
La1 La 0.0000 0.0000 0.0000
La2 La 0.0000 0.0000 0.2687
Y1 Y 0.0000 0.0000 0.4542
Tm1 Tm 0.0000 0.0000 0.0892
Tm2 Tm 0.0000 0.0000 0.1806
Tm3 Tm 0.0000 0.0000 0.3698



# La4YTm GGA-PBE relaxed
# * energy above the most stable polymorph in this dataset: 0 meV/atom
# * DFT formation energy: 0.064 eV/atom
# * calculated volume: 34.81 A^3/atom
# * M_tot: 0.00 μB/f.u.
data_La4YTm
_chemical_formula_sum 'La4 Y1 Tm1'
_cell_length_a 3.564
_cell_length_b 5.855
_cell_length_c 10.010
_cell_angle_alpha 90.00
_cell_angle_beta 90.00
_cell_angle_gamma 90.00
_symmetry_space_group_name_H-M 'P m m m'
_symmetry_Int_Tables_number 47
_symmetry_space_group_name_Hall '-P 2 2'
loop_
_atom_site_label
_atom_site_type_symbol
_atom_site_fract_x
_atom_site_fract_y
_atom_site_fract_z
La1 La 0.000 0.000 0.170
La2 La 0.000 0.500 0.326
Y1 Y 0.500 0.000 0.500
Tm1 Tm 0.500 0.500 0.000



# LaY2Tm4 GGA-PBE relaxed
# * energy above the most stable polymorph in this dataset: 0 meV/atom
# * DFT formation energy: 0.034 eV/atom
# * calculated volume: 31.67 A^3/atom
# * M_tot: 0.00 μB/f.u.
data_LaY2Tm4
_chemical_formula_sum 'La2 Y4 Tm8'
_cell_length_a 7.099
_cell_length_b 7.949
_cell_length_c 8.697
_cell_angle_alpha 111.42
_cell_angle_beta 90.12
_cell_angle_gamma 102.92
_symmetry_space_group_name_H-M 'P 1'
_symmetry_Int_Tables_number 1
_symmetry_space_group_name_Hall 'P 1'
loop_
_atom_site_label
_atom_site_type_symbol
_atom_site_fract_x
_atom_site_fract_y
_atom_site_fract_z
La1 La 0.000 0.000 0.000
La2 La 0.427 0.712 0.568
Y1 Y 0.288 0.151 0.713
Y2 Y 0.713 0.862 0.284
Y3 Y 0.856 0.432 0.140
Y4 Y 0.927 0.714 0.568
Tm1 Tm 0.071 0.286 0.426
Tm2 Tm 0.142 0.570 0.856
Tm3 Tm 0.215 0.860 0.283
Tm4 Tm 0.357 0.431 0.142
Tm5 Tm 0.500 0.003 0.999
Tm6 Tm 0.570 0.285 0.424
Tm7 Tm 0.641 0.571 0.856
Tm8 Tm 0.786 0.150 0.712



# LaY2Tm GGA-PBE relaxed
# * energy above the most stable polymorph in this dataset: 149 meV/atom
# * DFT formation energy: 0.168 eV/atom
# * calculated volume: 32.85 A^3/atom
# * M_tot: 0.00 μB/f.u.
data_LaY2Tm
_chemical_formula_sum 'La4 Y8 Tm4'
_cell_length_a 24.503
_cell_length_b 3.522
_cell_length_c 6.188
_cell_angle_alpha 90.00
_cell_angle_beta 100.26
_cell_angle_gamma 90.00
_symmetry_space_group_name_H-M 'C 1 2/c 1'
_symmetry_Int_Tables_number 15
_symmetry_space_group_name_Hall '-C 2yc'
loop_
_atom_site_label
_atom_site_type_symbol
_atom_site_fract_x
_atom_site_fract_y
_atom_site_fract_z
La1 La 0.000 0.000 0.000
Y1 Y 0.133 0.275 0.088
Tm1 Tm 0.250 0.250 0.500



# LaY3Tm6 GGA-PBE relaxed
# * energy above the most stable polymorph in this dataset: 177 meV/atom
# * DFT formation energy: 0.315 eV/atom
# * calculated volume: 32.08 A^3/atom
# * M_tot: 0.15 μB/f.u.
data_LaY3Tm6
_chemical_formula_sum 'La3 Y9 Tm18'
_cell_length_a 9.7966
_cell_length_b 9.7966
_cell_length_c 11.5798
_cell_angle_alpha 90.00
_cell_angle_beta 90.00
_cell_angle_gamma 120.00
_symmetry_space_group_name_H-M 'R 3'
_symmetry_Int_Tables_number 146
_symmetry_space_group_name_Hall 'R 3'
loop_
_atom_site_label
_atom_site_type_symbol
_atom_site_fract_x
_atom_site_fract_y
_atom_site_fract_z
La1 La 0.0000 0.0000 0.0000
Y1 Y 0.0000 0.0000 0.2489
Y2 Y 0.0000 0.0000 0.4979
Y3 Y 0.0000 0.0000 0.7433
Tm1 Tm 0.0004 0.3319 0.3355
Tm2 Tm 0.0015 0.6706 0.5027



# LaYTm6 GGA-PBE relaxed
# * energy above the most stable polymorph in this dataset: 0 meV/atom
# * DFT formation energy: 0.033 eV/atom
# * calculated volume: 31.16 A^3/atom
# * M_tot: 0.00 μB/f.u.
data_LaYTm6
_chemical_formula_sum 'La1 Y1 Tm6'
_cell_length_a 7.066
_cell_length_b 7.066
_cell_length_c 4.992
_cell_angle_alpha 90.00
_cell_angle_beta 90.00
_cell_angle_gamma 90.00
_symmetry_space_group_name_H-M 'P 4/m m m'
_symmetry_Int_Tables_number 123
_symmetry_space_group_name_Hall '-P 4 2'
loop_
_atom_site_label
_atom_site_type_symbol
_atom_site_fract_x
_atom_site_fract_y
_atom_site_fract_z
La1 La 0.000 0.000 0.000
Y1 Y 0.500 0.500 0.000
Tm1 Tm 0.000 0.500 0.000
Tm2 Tm 0.252 0.252 0.500



# LaY8Tm3 GGA-PBE relaxed
# * DFT formation energy: 0.352 eV/atom
# * calculated volume: 34.86 A^3/atom
# * M_tot: 0.00 μB/f.u.
data_LaY8Tm3
_chemical_formula_sum 'La2 Y16 Tm6'
_cell_length_a 6.437
_cell_length_b 11.330
_cell_length_c 11.473
_cell_angle_alpha 90.00
_cell_angle_beta 90.00
_cell_angle_gamma 90.00
_symmetry_space_group_name_H-M 'I m m m'
_symmetry_Int_Tables_number 71
_symmetry_space_group_name_Hall '-I 2 2'
loop_
_atom_site_label
_atom_site_type_symbol
_atom_site_fract_x
_atom_site_fract_y
_atom_site_fract_z
La1 La 0.000 0.000 0.000
Y1 Y 0.000 0.169 0.251
Y2 Y 0.243 0.263 0.000
Tm1 Tm 0.000 0.000 0.500
Tm2 Tm 0.000 0.500 0.235



# La2Y4Tm7 GGA-PBE relaxed
# * DFT formation energy: 0.192 eV/atom
# * calculated volume: 32.57 A^3/atom
# * M_tot: 0.00 μB/f.u.
data_La2Y4Tm7
_chemical_formula_sum 'La2 Y4 Tm7'
_cell_length_a 6.0477
_cell_length_b 6.0477
_cell_length_c 13.3659
_cell_angle_alpha 90.00
_cell_angle_beta 90.00
_cell_angle_gamma 120.00
_symmetry_space_group_name_H-M 'P -3 1 m'
_symmetry_Int_Tables_number 162
_symmetry_space_group_name_Hall '-P 3 2'
loop_
_atom_site_label
_atom_site_type_symbol
_atom_site_fract_x
_atom_site_fract_y
_atom_site_fract_z
La1 La 0.3333 0.6667 0.0000
Y1 Y 0.0000 0.0000 0.3949
Y2 Y 0.3333 0.6667 0.5000
Tm1 Tm 0.0000 0.0000 0.0000
Tm2 Tm 0.0000 0.3505 0.7851



# La5Y2Tm6 GGA-PBE relaxed
# * DFT formation energy: 0.100 eV/atom
# * calculated volume: 33.45 A^3/atom
# * M_tot: 0.00 μB/f.u.
data_La5Y2Tm6
_chemical_formula_sum 'La10 Y4 Tm12'
_cell_length_a 11.660
_cell_length_b 20.652
_cell_length_c 3.611
_cell_angle_alpha 90.00
_cell_angle_beta 90.00
_cell_angle_gamma 90.00
_symmetry_space_group_name_H-M 'P b a m'
_symmetry_Int_Tables_number 55
_symmetry_space_group_name_Hall '-P 2 2ab'
loop_
_atom_site_label
_atom_site_type_symbol
_atom_site_fract_x
_atom_site_fract_y
_atom_site_fract_z
La1 La 0.000 0.000 0.000
La2 La 0.081 0.272 0.000
La3 La 0.200 0.548 0.000
Y1 Y 0.173 0.711 0.500
Tm1 Tm 0.063 0.418 0.500
Tm2 Tm 0.078 0.132 0.500
Tm3 Tm 0.177 0.861 0.000



# La3YTm6 GGA-PBE relaxed
# * energy above the most stable polymorph in this dataset: 0 meV/atom
# * DFT formation energy: 0.235 eV/atom
# * calculated volume: 33.96 A^3/atom
# * M_tot: 0.00 μB/f.u.
data_La3YTm6
_chemical_formula_sum 'La12 Y4 Tm24'
_cell_length_a 11.431
_cell_length_b 12.673
_cell_length_c 9.376
_cell_angle_alpha 90.00
_cell_angle_beta 90.00
_cell_angle_gamma 90.00
_symmetry_space_group_name_H-M 'C m c 21'
_symmetry_Int_Tables_number 36
_symmetry_space_group_name_Hall 'C 2c -2'
loop_
_atom_site_label
_atom_site_type_symbol
_atom_site_fract_x
_atom_site_fract_y
_atom_site_fract_z
La1 La 0.000 0.019 0.000
La2 La 0.194 0.389 0.902
Y1 Y 0.000 0.261 0.317
Tm1 Tm 0.000 0.237 0.722
Tm2 Tm 0.000 0.487 0.637
Tm3 Tm 0.222 0.091 0.722
Tm4 Tm 0.240 0.340 0.557



# LaY7Tm2 GGA-PBE relaxed
# * energy above the most stable polymorph in this dataset: 599 meV/atom
# * DFT formation energy: 0.684 eV/atom
# * calculated volume: 40.03 A^3/atom
# * M_tot: 0.00 μB/f.u.
data_LaY7Tm2
_chemical_formula_sum 'La2 Y14 Tm4'
_cell_length_a 8.860
_cell_length_b 15.818
_cell_length_c 5.713
_cell_angle_alpha 90.00
_cell_angle_beta 90.00
_cell_angle_gamma 90.00
_symmetry_space_group_name_H-M 'C m m m'
_symmetry_Int_Tables_number 65
_symmetry_space_group_name_Hall '-C 2 2'
loop_
_atom_site_label
_atom_site_type_symbol
_atom_site_fract_x
_atom_site_fract_y
_atom_site_fract_z
La1 La 0.000 0.000 0.000
Y1 Y 0.000 0.228 0.000
Y2 Y 0.000 0.500 0.500
Y3 Y 0.178 0.120 0.500
Tm1 Tm 0.000 0.297 0.500